1.
Material: KMgAs2Br
Method: DFT, PBE
State: relaxed

POSCAR file:
```
KMgAs2Br
1.0
5.1095 0.0000 0.0000
0.0000 5.1095 0.0000
0.0000 0.0000 5.8808
K Mg As Br
1 1 2 1
Direct
0.0000 0.0000 0.0000
0.5000 0.5000 0.5000
0.0000 0.5000 0.5000
0.5000 0.0000 0.5000
0.5000 0.5000 0.0000
```

Calculated values
Relative energy among the computed polymorphs, meV/atom: 0.0
Space group: P4/mmm, No. 123
Total moment, μB/f.u.: 1.8

2.
Material: La6PrY5
Method: DFT, PBE
State: relaxed

POSCAR file:
```
La6PrY5
1.0
6.2642 0.0000 0.0000
0.0077 7.4499 0.0000
0.3955 0.0007 8.9845
La Pr Y
6 1 5
Direct
0.9998 0.2494 0.9998
0.0002 0.7506 0.0002
0.3308 0.2498 0.3344
0.3311 0.7505 0.3345
0.6689 0.2495 0.6655
0.6692 0.7502 0.6656
0.5000 0.5000 0.0000
0.1676 0.5000 0.6660
0.1688 0.9999 0.6667
0.5000 0.0000 0.0000
0.8312 0.0001 0.3332
0.8324 0.5000 0.3340
```

Calculated values
Formation energy from the elements, eV/atom: 0.017
Space group: P-1, No. 2
Total moment, μB/f.u.: 0.0